# 1
DFT (PBE) results for an optimized crystal structure of ZrIO3.

As for the symmetry: Pm-3m. Its density of states at the Fermi level is 0.883 states/eV per atom. The value obtained for the mass density is 5788 kg/m3.

a = 4.242 Å, b = 4.242 Å, c = 4.242 Å
α = 90.00°, β = 90.00°, γ = 90.00°
Last column: magnetic moment on the atom in μB.
Fractional positions:
I 0.000 0.000 0.000  -0.01
O 0.000 0.500 0.000  0.01
O 0.000 0.000 0.500  0.02
O 0.500 0.000 0.000  0.00
Zr 0.500 0.500 0.500  1.41

# 2
DFT (PBE) results for an optimized crystal structure of ZrIO3.

As for the symmetry: Pm-3m. Its density of states at the Fermi level is 0.836 states/eV per atom. The value obtained for the mass density is 5980 kg/m3.

a = 4.197 Å, b = 4.197 Å, c = 4.197 Å
α = 90.00°, β = 90.00°, γ = 90.00°
Fractional positions:
I 0.500 0.500 0.500
O 0.000 0.500 0.000
O 0.000 0.000 0.500
O 0.500 0.000 0.000
Zr 0.000 0.000 0.000

# 3
DFT (PBE) results for an optimized crystal structure of OsI3.

As for the symmetry: Fm-3m. Its density of states at the Fermi level is 1.685 states/eV per atom. The value obtained for the mass density is 8598 kg/m3.

a = 5.382 Å, b = 5.382 Å, c = 5.382 Å
α = 60.00°, β = 60.00°, γ = 60.00°
Last column: magnetic moment on the atom in μB.
Fractional positions:
I 0.250 0.250 0.250  0.04
I 0.750 0.750 0.750  0.04
I 0.000 0.000 0.000  0.00
Os 0.500 0.500 0.500  2.45

# 4
DFT (PBE) results for an optimized crystal structure of OsI4.

As for the symmetry: Pm-3m. Its density of states at the Fermi level is 1.395 states/eV per atom. The value obtained for the mass density is 7202 kg/m3.

a = 5.439 Å, b = 5.439 Å, c = 5.439 Å
α = 90.00°, β = 90.00°, γ = 90.00°
Last column: magnetic moment on the atom in μB.
Fractional positions:
I 0.000 0.000 0.000  0.01
I 0.500 0.000 0.500  0.06
I 0.000 0.500 0.500  0.06
I 0.500 0.500 0.000  0.06
Os 0.500 0.500 0.500  0.66

# 5
DFT (PBE) results for an optimized crystal structure of OsI3.

As for the symmetry: I-42d. Its density of states at the Fermi level is 1.020 states/eV per atom. The value obtained for the mass density is 6408 kg/m3.

a = 7.742 Å, b = 7.742 Å, c = 7.371 Å
α = 58.32°, β = 58.32°, γ = 90.00°
Fractional positions:
I 0.500 0.500 0.000
I 0.250 0.750 0.500
I 0.730 0.125 0.250
I 0.020 0.625 0.250
I 0.375 0.270 0.750
I 0.875 0.980 0.750
Os 0.000 0.000 0.000
Os 0.750 0.250 0.500

# 6
DFT (PBE) results for an optimized crystal structure of P2OsI.

As for the symmetry: Fm-3m. Its density of states at the Fermi level is 0.670 states/eV per atom. The value obtained for the mass density is 9334 kg/m3. The calculation puts the energy above the most stable polymorph in this dataset at 22.38 kcal/mol of atoms.

a = 4.569 Å, b = 4.569 Å, c = 4.569 Å
α = 60.00°, β = 60.00°, γ = 60.00°
Fractional positions:
I 0.000 0.000 0.000
P 0.250 0.250 0.250
P 0.750 0.750 0.750
Os 0.500 0.500 0.500

# 7
DFT (PBE) results for an optimized crystal structure of POs3I.

As for the symmetry: Pm-3m. Its density of states at the Fermi level is 0.851 states/eV per atom. The value obtained for the mass density is 13537 kg/m3. The calculation puts the energy above the most stable polymorph in this dataset at 0.00 kcal/mol of atoms.

a = 4.471 Å, b = 4.471 Å, c = 4.471 Å
α = 90.00°, β = 90.00°, γ = 90.00°
Fractional positions:
I 0.500 0.500 0.500
P 0.000 0.000 0.000
Os 0.000 0.500 0.000
Os 0.000 0.000 0.500
Os 0.500 0.000 0.000

# 8
DFT (PBE) results for an optimized crystal structure of P3OsI.

As for the symmetry: Pm-3m. Its density of states at the Fermi level is 1.083 states/eV per atom. The value obtained for the mass density is 6659 kg/m3. The calculation puts the energy above the most stable polymorph in this dataset at 0.00 kcal/mol of atoms.

a = 4.676 Å, b = 4.676 Å, c = 4.676 Å
α = 90.00°, β = 90.00°, γ = 90.00°
Fractional positions:
I 0.500 0.500 0.500
P 0.000 0.500 0.000
P 0.000 0.000 0.500
P 0.500 0.000 0.000
Os 0.000 0.000 0.000

# 9
DFT (PBE) results for an optimized crystal structure of POs3I.

As for the symmetry: Pm-3m. Its density of states at the Fermi level is 1.245 states/eV per atom. The value obtained for the mass density is 10900 kg/m3. The calculation puts the energy above the most stable polymorph in this dataset at 38.77 kcal/mol of atoms.

a = 4.806 Å, b = 4.806 Å, c = 4.806 Å
α = 90.00°, β = 90.00°, γ = 90.00°
Fractional positions:
I 0.000 0.000 0.000
P 0.500 0.500 0.500
Os 0.000 0.500 0.000
Os 0.000 0.000 0.500
Os 0.500 0.000 0.000

# 10
DFT (PBE) results for an optimized crystal structure of P2OsI.

As for the symmetry: I-42d. Its density of states at the Fermi level is 0.505 states/eV per atom. The value obtained for the mass density is 6079 kg/m3. The calculation puts the energy above the most stable polymorph in this dataset at 0.00 kcal/mol of atoms.

a = 6.432 Å, b = 6.432 Å, c = 6.763 Å
α = 61.61°, β = 61.61°, γ = 90.00°
Fractional positions:
I 0.500 0.500 0.000
I 0.250 0.750 0.500
P 0.740 0.125 0.250
P 0.010 0.625 0.250
P 0.375 0.260 0.750
P 0.875 0.990 0.750
Os 0.000 0.000 0.000
Os 0.750 0.250 0.500

# 11
DFT (PBE) results for an optimized crystal structure of Pr8POs3I4.

As for the symmetry: R-3m. Its density of states at the Fermi level is 0.622 states/eV per atom. The value obtained for the mass density is 7289 kg/m3.

a = 8.530 Å, b = 9.468 Å, c = 8.526 Å
α = 116.72°, β = 120.01°, γ = 90.00°
Fractional positions:
Pr 0.233 0.683 0.950
Pr 0.233 0.683 0.466
Pr 0.269 0.307 0.538
Pr 0.718 0.683 0.950
Pr 0.282 0.317 0.050
Pr 0.731 0.693 0.462
Pr 0.767 0.317 0.534
Pr 0.767 0.317 0.050
P 0.000 0.500 0.000
Os 0.500 0.500 0.000
Os 0.500 0.500 0.500
Os 0.000 0.500 0.500
I 0.500 0.000 0.000
I 0.500 0.000 0.500
I 0.000 0.000 0.000
I 0.000 0.000 0.500

# 12
DFT (PBE) results for an optimized crystal structure of RbPOsI2.

As for the symmetry: P4/mmm. Its density of states at the Fermi level is 0.971 states/eV per atom. The value obtained for the mass density is 6063 kg/m3. The calculation puts the energy above the most stable polymorph in this dataset at 0.00 kcal/mol of atoms.

a = 5.867 Å, b = 5.867 Å, c = 4.460 Å
α = 90.00°, β = 90.00°, γ = 90.00°
Fractional positions:
I 0.000 0.500 0.000
I 0.500 0.000 0.000
P 0.000 0.000 0.500
Os 0.000 0.000 0.000
Rb 0.500 0.500 0.500

Number 1: raw formation energy 71 meV/atom, magnetization 1.996 μB per formula unit. Number 2: raw formation energy -1459 meV/atom, magnetization 0.000 μB per formula unit. Number 3: raw formation energy 1578 meV/atom, magnetization 2.798 μB per formula unit. Number 4: raw formation energy 603 meV/atom, magnetization 1.024 μB per formula unit. Number 5: raw formation energy 698 meV/atom, magnetization 0.000 μB per formula unit. Number 6: raw formation energy 1263 meV/atom, magnetization 0.000 μB per formula unit. Number 7: raw formation energy 1423 meV/atom, magnetization 0.000 μB per formula unit. Number 8: raw formation energy 661 meV/atom, magnetization 0.000 μB per formula unit. Number 9: raw formation energy 3105 meV/atom, magnetization 0.000 μB per formula unit. Number 10: raw formation energy 293 meV/atom, magnetization 0.000 μB per formula unit. Number 11: raw formation energy -718 meV/atom, magnetization 0.000 μB per formula unit. Number 12: raw formation energy -124 meV/atom, magnetization 0.001 μB per formula unit.